Ag2TeCl: PBEsol geometry, SCAN.

a = 3.805 Å, b = 3.805 Å, c = 7.350 Å
α = 75.00°, β = 75.00°, γ = 60.00°
Positions (direct):
1 Ag 0.751 0.751 0.747
2 Cl 0.500 0.500 0.500
3 Te 0.000 0.000 0.000
4 Ag 0.249 0.249 0.253

## Properties
* ΔE_f (raw): -0.26 eV per atom
* energy above the most stable polymorph in this dataset: 0.0 meV per atom

=====

Na6Cu2PC4O16: PBEsol geometry, SCAN.

a = 9.742 Å, b = 9.742 Å, c = 9.742 Å
α = 60.00°, β = 60.00°, γ = 60.00°
Site moments in Bohr magnetons follow the coordinates.
Positions (direct):
1 Cu 0.125 0.625 0.125  0.84
2 Na 0.709 0.291 0.709  0.00
3 C 0.271 0.910 0.910  -0.01
4 O 0.274 0.929 0.030  0.09
5 O 0.976 0.321 0.220  0.09
6 C 0.910 0.910 0.910  -0.01
7 Na 0.709 0.291 0.291  0.00
8 O 0.030 0.274 0.929  0.09
9 O 0.929 0.030 0.274  0.09
10 Cu 0.125 0.125 0.125  0.84
11 O 0.767 0.929 0.274  0.09
12 O 0.220 0.483 0.976  0.09
13 O 0.565 0.305 0.565  0.07
14 O 0.767 0.030 0.929  0.09
15 Na 0.291 0.291 0.709  0.00
16 O 0.685 0.945 0.685  0.07
17 O 0.274 0.767 0.929  0.09
18 O 0.220 0.976 0.321  0.09
19 Na 0.959 0.541 0.959  0.00
20 Na 0.959 0.959 0.541  0.00
21 O 0.321 0.220 0.976  0.09
22 O 0.483 0.976 0.220  0.09
23 O 0.565 0.565 0.305  0.07
24 O 0.483 0.321 0.976  0.09
25 Na 0.709 0.709 0.291  0.00
26 O 0.274 0.030 0.767  0.09
27 Na 0.291 0.709 0.709  0.00
28 O 0.321 0.483 0.220  0.09
29 O 0.220 0.321 0.483  0.09
30 O 0.305 0.565 0.565  0.07
31 C 0.340 0.979 0.340  -0.01
32 C 0.910 0.910 0.271  -0.01
33 Cu 0.625 0.125 0.125  0.84
34 P 0.750 0.750 0.750  -0.01
35 Na 0.541 0.959 0.541  0.00
36 C 0.340 0.340 0.979  -0.01
37 O 0.030 0.767 0.274  0.09
38 Na 0.959 0.541 0.541  0.00
39 P 0.500 0.500 0.500  -0.01
40 O 0.565 0.565 0.565  0.07
41 O 0.030 0.929 0.767  0.09
42 O 0.483 0.220 0.321  0.09
43 O 0.767 0.274 0.030  0.09
44 Na 0.541 0.541 0.959  0.00
45 O 0.685 0.685 0.945  0.07
46 O 0.976 0.483 0.321  0.09
47 O 0.945 0.685 0.685  0.07
48 O 0.929 0.274 0.767  0.09
49 O 0.321 0.976 0.483  0.09
50 Na 0.541 0.959 0.959  0.00
51 C 0.979 0.340 0.340  -0.01
52 O 0.929 0.767 0.030  0.09
53 Na 0.291 0.709 0.291  0.00
54 O 0.976 0.220 0.483  0.09
55 C 0.910 0.271 0.910  -0.01
56 C 0.340 0.340 0.340  -0.01
57 Cu 0.125 0.125 0.625  0.84
58 O 0.685 0.685 0.685  0.07

## Properties
* ΔE_f (raw): -1.71 eV per atom

=====

MnHgRu: PBEsol geometry, SCAN.

a = 2.864 Å, b = 4.278 Å, c = 4.278 Å
α = 120.00°, β = 90.00°, γ = 90.00°
Site moments in Bohr magnetons follow the coordinates.
Positions (direct):
1 Ru 0.500 0.667 0.333  -0.47
2 Mn 0.499 0.333 0.667  3.66
3 Hg 0.000 0.000 0.000  -0.02

## Properties
* energy above the most stable polymorph in this dataset: 154.3 meV per atom

=====

Number 1: M_tot 0.0 μB/cell. Number 2: M_tot 6.2 μB/cell. Number 3: M_tot 3.3 μB/cell.